1.
The following is a PBE calculation of a geometry-optimized Sc2In2Ga3 structure, from the Alexandria database.

Summary:
DOS at the Fermi energy in states/eV/f.u.: 4.87
ΔE_f in eV per atom: -0.23

Cell lengths 7.335, 7.335, 7.335 Å; angles 109.47, 109.47, 109.47 degrees
Positions (direct):
In  0.139  0.639  0.639
In  0.000  0.000  0.861
In  0.500  0.861  0.500
In  0.361  0.500  0.000
Ga  0.250  0.992  0.242
Ga  0.008  0.258  0.250
Ga  0.742  0.750  0.992
Ga  0.750  0.508  0.258
Ga  0.758  0.250  0.508
Ga  0.492  0.242  0.750
Sc  0.000  0.000  0.469
Sc  0.969  0.500  0.000
Sc  0.531  0.031  0.031
Sc  0.500  0.469  0.500

2.
The following is a PBE calculation of a geometry-optimized ScInGa2 structure, from the Alexandria database.

Summary:
DOS at the Fermi energy in states/eV/f.u.: 1.87
ΔE_f in eV per atom: -0.12

Cell lengths 7.634, 7.634, 6.167 Å; angles 51.76, 51.76, 90.00 degrees
Positions (direct):
In  0.750  0.250  0.500
In  0.000  0.000  0.000
Ga  0.115  0.625  0.250
Ga  0.635  0.125  0.250
Ga  0.875  0.885  0.750
Ga  0.375  0.365  0.750
Sc  0.250  0.750  0.500
Sc  0.500  0.500  0.000

3.
The following is a PBE calculation of a geometry-optimized Sc12In5Ga2 structure, from the Alexandria database.

Summary:
DOS at the Fermi energy in states/eV/f.u.: 22.70
ΔE_f in eV per atom: -0.24

Cell lengths 8.823, 7.696, 7.986 Å; angles 90.42, 90.00, 124.98 degrees
Positions (direct):
Sc  0.567  0.134  0.263
Sc  0.033  0.704  0.768
Sc  0.670  0.704  0.768
Sc  0.801  0.211  0.614
Sc  0.089  0.177  0.874
Sc  0.590  0.789  0.386
Sc  0.911  0.823  0.126
Sc  0.433  0.866  0.737
Sc  0.967  0.296  0.232
Sc  0.199  0.789  0.386
Sc  0.410  0.211  0.614
Sc  0.330  0.296  0.232
In  0.767  0.535  0.433
In  0.672  0.344  0.931
In  0.328  0.656  0.069
In  0.233  0.465  0.567
In  0.000  0.000  0.500
Ga  0.285  0.000  0.000
Ga  0.715  0.000  0.000

4.
The following is a PBE calculation of a geometry-optimized Sc8In2Ga structure, from the Alexandria database.

Summary:
DOS at the Fermi energy in states/eV/f.u.: 13.55
ΔE_f in eV per atom: -0.26

Cell lengths 5.001, 6.724, 8.644 Å; angles 112.74, 106.82, 90.00 degrees
Each line ends with the local moment (μB).
Positions (direct):
Sc  0.635  0.403  0.269  0.20
Sc  0.365  0.597  0.731  0.20
Sc  0.000  0.755  0.001  0.06
Sc  0.000  0.245  0.999  0.06
Sc  0.186  0.188  0.373  0.28
Sc  0.814  0.812  0.627  0.28
Sc  0.636  0.870  0.273  0.20
Sc  0.364  0.130  0.727  0.20
Ga  0.500  0.000  0.000  -0.01
In  0.187  0.687  0.373  -0.02
In  0.813  0.313  0.627  -0.02

5.
The following is a PBE calculation of a geometry-optimized Sc7In2Ga2 structure, from the Alexandria database.

Summary:
DOS at the Fermi energy in states/eV/f.u.: 9.44
ΔE_f in eV per atom: -0.17

Cell lengths 6.413, 6.918, 6.413 Å; angles 89.99, 108.15, 90.01 degrees
Positions (direct):
Sc  0.500  0.726  0.000
Sc  0.000  0.000  0.000
Sc  0.500  0.274  0.000
Sc  0.500  0.754  0.500
Sc  0.000  0.726  0.500
Sc  0.000  0.274  0.500
Sc  0.500  0.246  0.500
Ga  0.288  0.000  0.712
Ga  0.712  0.000  0.288
In  0.816  0.500  0.816
In  0.184  0.500  0.184

6.
The following is a PBE calculation of a geometry-optimized ScIn2Ga structure, from the Alexandria database.

Summary:
DOS at the Fermi energy in states/eV/f.u.: 1.87
ΔE_f in eV per atom: -0.34

Cell lengths 4.504, 4.363, 4.363 Å; angles 90.00, 90.00, 90.00 degrees
Positions (direct):
Ga  0.500  0.000  0.000
In  0.000  0.500  0.000
In  0.000  0.000  0.500
Sc  0.500  0.500  0.500

7.
The following is a PBE calculation of a geometry-optimized Sc2InGa4 structure, from the Alexandria database.

Summary:
DOS at the Fermi energy in states/eV/f.u.: 5.65
ΔE_f in eV per atom: 0.24

Cell lengths 5.140, 5.140, 7.841 Å; angles 70.87, 70.87, 90.00 degrees
Positions (direct):
Ga  0.194  0.194  0.612
Ga  0.806  0.806  0.388
Ga  0.000  0.500  0.000
Ga  0.500  0.000  0.000
Sc  0.393  0.393  0.214
Sc  0.607  0.607  0.786
In  0.000  0.000  0.000

8.
The following is a PBE calculation of a geometry-optimized ScInGa4 structure, from the Alexandria database.

Summary:
DOS at the Fermi energy in states/eV/f.u.: 6.28
ΔE_f in eV per atom: -0.15

Cell lengths 5.493, 5.493, 5.493 Å; angles 60.00, 60.00, 60.00 degrees
Positions (direct):
Sc  0.000  0.000  0.000
In  0.250  0.250  0.250
Ga  0.626  0.123  0.626
Ga  0.626  0.626  0.626
Ga  0.123  0.626  0.626
Ga  0.626  0.626  0.123

9.
The following is a PBE calculation of a geometry-optimized Sc6InGa2 structure, from the Alexandria database.

Summary:
DOS at the Fermi energy in states/eV/f.u.: 6.88
ΔE_f in eV per atom: -0.43

Cell lengths 8.073, 8.073, 8.073 Å; angles 103.46, 112.81, 112.31 degrees
Positions (direct):
Sc  0.797  0.757  0.553
Sc  0.705  0.024  0.319
Sc  0.907  0.720  0.187
Sc  0.203  0.243  0.447
Sc  0.093  0.280  0.813
Sc  0.295  0.614  0.319
Sc  0.468  0.280  0.187
Sc  0.532  0.720  0.813
Sc  0.797  0.243  0.040
Sc  0.705  0.386  0.681
Sc  0.203  0.757  0.960
Sc  0.295  0.976  0.681
In  0.000  0.500  0.500
In  0.000  0.000  0.000
Ga  0.500  0.376  0.876
Ga  0.652  0.000  0.652
Ga  0.500  0.624  0.124
Ga  0.348  0.000  0.348

10.
The following is a PBE calculation of a geometry-optimized Sc4InGa2 structure, from the Alexandria database.

Summary:
DOS at the Fermi energy in states/eV/f.u.: 6.04
ΔE_f in eV per atom: -0.22

Cell lengths 4.708, 4.708, 9.059 Å; angles 74.94, 74.94, 60.00 degrees
Positions (direct):
Sc  0.206  0.206  0.383
Sc  0.794  0.794  0.617
Sc  0.616  0.616  0.151
Sc  0.384  0.384  0.849
Ga  0.899  0.899  0.303
Ga  0.101  0.101  0.697
In  0.000  0.000  0.000

11.
The following is a PBE calculation of a geometry-optimized Sc2InGa2 structure, from the Alexandria database.

Summary:
E above lowest polymorph in meV/atom: 432
DOS at the Fermi energy in states/eV/f.u.: 4.73
ΔE_f in eV per atom: -0.12

Cell lengths 4.497, 4.497, 6.527 Å; angles 69.85, 69.85, 90.00 degrees
Each line ends with the local moment (μB).
Positions (direct):
In  0.000  0.000  0.000  0.00
Ga  0.604  0.604  0.793  0.01
Ga  0.396  0.396  0.207  0.01
Sc  0.250  0.750  0.500  0.27
Sc  0.750  0.250  0.500  0.27

12.
The following is a PBE calculation of a geometry-optimized Sc4In2Ga structure, from the Alexandria database.

Summary:
E above lowest polymorph in meV/atom: 0
DOS at the Fermi energy in states/eV/f.u.: 8.66
ΔE_f in eV per atom: -0.29

Cell lengths 4.885, 4.885, 8.505 Å; angles 73.31, 73.31, 60.00 degrees
Positions (direct):
Sc  0.624  0.624  0.129
Sc  0.376  0.376  0.871
Sc  0.125  0.125  0.624
Sc  0.875  0.875  0.376
In  0.753  0.753  0.742
In  0.247  0.247  0.258
Ga  0.000  0.000  0.000